[1]
Here is crystalline Hf2BS at its relaxed geometry from OQMD via LeMat-Bulk. Energies are from PBE.

Structure (POSCAR):
```
Hf2BS
1.0
3.480 0.000 0.000
-1.740 3.013 0.000
0.000 0.000 12.140
Hf B S
4 2 2
direct
0.333 0.667 0.104
0.333 0.667 0.396
0.667 0.333 0.604
0.667 0.333 0.896
0.000 0.000 0.000
0.000 0.000 0.500
0.333 0.667 0.750
0.667 0.333 0.250
```

The space-group type is No. 194. For the total energy, the calculation gives -8.878 eV/atom.

=====

[2]
Here is crystalline GaSb2Ir at its relaxed geometry from OQMD via LeMat-Bulk. Energies are from PBE.

Structure (POSCAR):
```
GaSb2Ir
1.0
0.000 3.451 3.451
3.451 0.000 3.451
3.451 3.451 0.000
Ga Sb Ir
1 2 1
direct
0.000 0.000 0.000
0.500 0.500 0.500
0.750 0.750 0.750
0.250 0.250 0.250
```

The space-group type is No. 216. For the total energy, the calculation gives -4.640 eV/atom.

=====

Copy entry 1 word for word.
Here is crystalline Hf2BS at its relaxed geometry from OQMD via LeMat-Bulk. Energies are from PBE.

Structure (POSCAR):
```
Hf2BS
1.0
3.480 0.000 0.000
-1.740 3.013 0.000
0.000 0.000 12.140
Hf B S
4 2 2
direct
0.333 0.667 0.104
0.333 0.667 0.396
0.667 0.333 0.604
0.667 0.333 0.896
0.000 0.000 0.000
0.000 0.000 0.500
0.333 0.667 0.750
0.667 0.333 0.250
```

The space-group type is No. 194. For the total energy, the calculation gives -8.878 eV/atom.